Entry 1:
VASP calculation (PBE) on crystalline SrFeCu2 at its relaxed geometry.

Unit cell a=6.6474 b=6.6474 c=6.6474 alpha=90.00 beta=90.00 gamma=90.00
Space group F-43m (No. 216)
Asymmetric unit:
1 Sr 0.0000 0.0000 0.0000
2 Fe 0.2500 0.2500 0.2500
3 Cu 0.0000 0.0000 0.5000
4 Cu 0.2500 0.2500 0.7500

Computed properties:
energy of formation from the pure elements	0.63	eV/atom
crystal system	cubic
mass density	6.118	g/cm3

Entry 2:
VASP calculation (PBE) on crystalline AlP2Rh at its relaxed geometry.

Unit cell a=5.5040 b=5.5040 c=10.2746 alpha=90.00 beta=90.00 gamma=90.00
Space group I-42d (No. 122)
Asymmetric unit:
1 Al 0.0000 0.0000 0.0000
2 P 0.2336 0.2500 0.6250
3 Rh 0.0000 0.0000 0.5000

Computed properties:
energy of formation from the pure elements	-0.32	eV/atom
crystal system	tetragonal
mass density	4.094	g/cm3

Entry 3:
VASP calculation (PBE) on crystalline Li2PuBiS4 at its relaxed geometry.

Unit cell a=6.6524 b=3.9853 c=6.9097 alpha=90.00 beta=110.72 gamma=90.00
Space group P2/m (No. 10)
Asymmetric unit:
1 Li 0.0000 0.0000 0.0000
2 Li 0.0000 0.5000 0.5000
3 Pu 0.5000 0.0000 0.5000
4 Bi 0.5000 0.5000 0.0000
5 S 0.2385 0.0000 0.7406
6 S 0.2472 0.5000 0.2542

Computed properties:
VASP energy	-47.56	eV/cell
crystal system	monoclinic
mass density	5.768	g/cm3

Entry 4:
VASP calculation (PBE) on crystalline Cr2CdRh at its relaxed geometry.

Unit cell a=2.8401 b=2.8401 c=25.3105 alpha=90.00 beta=90.00 gamma=120.00
Space group R3m (No. 160, hexagonal axes)
Asymmetric unit:
1 Cr 0.0000 0.0000 0.0000
2 Cr 0.0000 0.0000 0.2716
3 Cd 0.0000 0.0000 0.7643
4 Rh 0.0000 0.0000 0.5262

Computed properties:
energy of formation from the pure elements	0.21	eV/atom
crystal system	trigonal
mass density	8.997	g/cm3

Entry 5:
VASP calculation (PBE) on crystalline AgHg2 at its relaxed geometry.

Unit cell a=5.8592 b=5.8592 c=9.5857 alpha=90.00 beta=90.00 gamma=120.00
Space group P6_3/mmc (No. 194)
Asymmetric unit:
1 Ag 0.3333 0.6667 0.0285
2 Hg 0.0000 0.0000 0.0000
3 Hg 0.1713 0.3425 0.7500

Computed properties:
distance to the lowest polymorph of the same formula	229.7	meV per atom
energy of formation from the pure elements	0.28	eV/atom
crystal system	hexagonal
mass density	11.864	g/cm3

Entry 6:
VASP calculation (PBE) on crystalline Ce12PuIr7 at its relaxed geometry.

Unit cell a=14.2558 b=14.2558 c=9.8538 alpha=90.00 beta=90.00 gamma=120.00
Space group R-3 (No. 148, hexagonal axes)
Asymmetric unit:
1 Ce 0.0265 0.4375 0.1648
2 Ce 0.0482 0.8689 0.8349
3 Pu 0.0000 0.0000 0.5000
4 Ir 0.0000 0.0000 0.0000
5 Ir 0.0473 0.8636 0.3284

Computed properties:
energy of formation from the pure elements	-0.42	eV/atom
crystal system	trigonal
mass density	9.396	g/cm3

Which value of mass density does entry 4 give? 8.997 g/cm3

What is the formula in the second record? AlP2Rh

Please write out number 5 again, unchanged.
VASP calculation (PBE) on crystalline AgHg2 at its relaxed geometry.

Unit cell a=5.8592 b=5.8592 c=9.5857 alpha=90.00 beta=90.00 gamma=120.00
Space group P6_3/mmc (No. 194)
Asymmetric unit:
1 Ag 0.3333 0.6667 0.0285
2 Hg 0.0000 0.0000 0.0000
3 Hg 0.1713 0.3425 0.7500

Computed properties:
distance to the lowest polymorph of the same formula	229.7	meV per atom
energy of formation from the pure elements	0.28	eV/atom
crystal system	hexagonal
mass density	11.864	g/cm3

Among the records above, which one has the highest mass density? AgHg2